(1)
The following is a PBE-GGA calculation of a relaxed structure of Hf2Ti5Tl3, from Alexandria.

Results
Formation enthalpy at 0 K   0.39 eV/atom
Symmetry   Ibam (72)

a b c (Å): 5.4670 9.3021 9.3021
angles (deg): 97.35 72.91 72.91
Atoms (fractional coordinates):
Tl1 0.7500 0.0000 0.0000
Tl2 0.8716 0.7889 0.4679
Tl3 0.6284 0.5321 0.2111
Tl4 0.3716 0.4679 0.7889
Tl5 0.1284 0.2111 0.5321
Tl6 0.2500 0.0000 0.0000
Hf1 0.5886 0.1055 0.7174
Hf2 0.0886 0.7174 0.1055
Hf3 0.4114 0.8945 0.2826
Hf4 0.9114 0.2826 0.8945
Ti1 0.0067 0.7433 0.7433
Ti2 0.2500 0.5000 0.5000
Ti3 0.1832 0.9645 0.6690
Ti4 0.5067 0.7433 0.7433
Ti5 0.9933 0.2567 0.2567
Ti6 0.3168 0.3310 0.0355
Ti7 0.8168 0.0355 0.3310
Ti8 0.6832 0.6690 0.9645
Ti9 0.4933 0.2567 0.2567
Ti10 0.7500 0.5000 0.5000

=====

(2)
The following is a PBE-GGA calculation of a relaxed structure of MnAlV2Te, from Alexandria.

Results
Symmetry   P4/mmm (123)
Formation energy (no corrections)   1.391 eV/atom

a b c (Å): 4.7514 4.5826 4.7514
angles (deg): 90.00 90.00 90.00
Atoms (fractional coordinates):
Te1 0.0000 0.0000 0.0000
Al1 0.5000 0.5000 0.5000
V1 0.5000 0.0000 0.0000
V2 0.0000 0.0000 0.5000
Mn1 0.0000 0.5000 0.0000

=====

(3)
The following is a PBE-GGA calculation of a relaxed structure of Na2PbCl, from Alexandria.

Results
Symmetry   P4/mmm (123)
Relative energy among the computed polymorphs   0.003 eV per atom
Formation energy (no corrections)   -0.865 eV/atom

a b c (Å): 3.4253 3.4253 8.5772
angles (deg): 90.00 90.00 90.00
Atoms (fractional coordinates):
Cl1 0.5000 0.5000 0.0000
Na1 0.0000 0.0000 0.8015
Na2 0.0000 0.0000 0.1985
Pb1 0.5000 0.5000 0.5000